(A)
The following is a DFT calculation (GGA-PBE) of a relaxed structure of Nb2Ni15Pt2.

```
Nb2Ni15Pt2
1.0
-1.5867 0.5918 -6.0095
-6.0396 -1.4707 0.5855
-2.2473 5.8173 0.3019
Ni Pt Nb
15 2 2
direct
0.0000 0.6956 0.3044
0.5000 0.0000 0.0000
0.0000 0.3044 0.6956
0.6472 0.6472 0.1635
0.8365 0.3528 0.3528
0.0000 0.0000 0.5000
0.3044 0.6956 0.0000
0.3528 0.3528 0.8365
0.6472 0.1635 0.6472
0.1635 0.6472 0.6472
0.6956 0.0000 0.3044
0.3044 0.0000 0.6956
0.3528 0.8365 0.3528
0.0000 0.5000 0.0000
0.6956 0.3044 0.0000
0.3424 0.3424 0.3424
0.6576 0.6576 0.6576
0.8834 0.8834 0.8834
0.1166 0.1166 0.1166
```

Properties
- SG = No. 166
- D(E_F) (states/eV/f.u.) = 28.59

(B)
The following is a DFT calculation (GGA-PBE) of a relaxed structure of Nb2Ni15Pt2.

```
Nb2Ni15Pt2
1.0
-4.2421 -1.6047 4.2359
0.0630 -6.0998 -1.1408
3.9786 -1.5686 4.4970
Ni Nb Pt
15 2 2
direct
0.3524 0.3524 0.8317
0.1683 0.6476 0.6476
0.0000 0.0000 0.5000
0.0000 0.6878 0.3122
0.3122 0.0000 0.6878
0.0000 0.3122 0.6878
0.6476 0.6476 0.1683
0.3524 0.8317 0.3524
0.6476 0.1683 0.6476
0.6878 0.0000 0.3122
0.5000 0.0000 0.0000
0.8317 0.3524 0.3524
0.0000 0.5000 0.0000
0.6878 0.3122 0.0000
0.3122 0.6878 0.0000
0.3472 0.3472 0.3472
0.6528 0.6528 0.6528
0.8888 0.8888 0.8888
0.1112 0.1112 0.1112
```

Properties
- SG = No. 166
- D(E_F) (states/eV/f.u.) = 23.57

Going by the energies, (B) is most stable and the next is 0.099 eV/atom up.

(A)
The following is a DFT calculation (GGA-PBE) of a relaxed structure of NbNiPt6.

```
NbNiPt6
1.0
4.6466 -0.1188 -1.2814
-1.9010 4.2409 -1.2839
0.0560 0.0874 6.2642
Pt Ni Nb
6 1 1
direct
0.2484 0.2484 0.4969
0.3784 0.8784 0.7567
0.6216 0.1216 0.2433
0.7516 0.7516 0.5031
0.8784 0.3784 0.7567
0.1216 0.6216 0.2433
0.0000 0.0000 0.0000
0.5000 0.5000 0.0000
```

Properties
- SG = No. 69
- D(E_F) (states/eV/f.u.) = 8.19

(B)
The following is a DFT calculation (GGA-PBE) of a relaxed structure of NbNiPt6.

```
NbNiPt6
1.0
-0.8596 -3.1040 -3.4709
2.5359 -3.9532 0.6017
-4.3584 -4.9721 2.5971
Pt Ni Nb
6 1 1
direct
0.4432 0.9320 0.7008
0.0680 0.5568 0.2992
0.3450 0.3450 0.9445
0.9320 0.4432 0.7008
0.5568 0.0680 0.2992
0.6550 0.6550 0.0555
0.0000 0.0000 0.0000
0.5000 0.5000 0.5000
```

Properties
- SG = No. 12
- D(E_F) (states/eV/f.u.) = 8.41

Going by the energies, (A) is most stable and the next is 0.256 eV/atom up.

(A)
The following is a DFT calculation (GGA-PBE) of a relaxed structure of NbNi2SbPt.

```
NbNi2SbPt
1.0
-3.8972 0.4255 2.3500
0.6674 -4.5172 1.9246
2.3075 1.8302 3.4954
Ni Sb Pt Nb
2 1 1 1
direct
0.5000 0.0000 0.0000
0.0000 0.0000 0.5000
0.5000 0.5000 0.5000
0.0000 0.5000 0.0000
0.0000 0.0000 0.0000
```

Properties
- SG = No. 123
- D(E_F) (states/eV/f.u.) = 5.01

(B)
The following is a DFT calculation (GGA-PBE) of a relaxed structure of NbNi2SbPt.

```
NbNi2SbPt
1.0
4.5583 0.0000 0.0000
0.0000 4.9559 0.0000
0.0000 0.0000 4.5583
Sb Pt Ni Nb
1 1 2 1
direct
0.0000 0.5000 0.0000
0.0000 0.0000 0.0000
0.0000 0.0000 0.5000
0.5000 0.0000 0.0000
0.5000 0.5000 0.5000
```

Properties
- SG = No. 123
- D(E_F) (states/eV/f.u.) = 10.58

Going by the energies, (A) is most stable and the next is 0.103 eV/atom up.

(A)
The following is a DFT calculation (GGA-PBE) of a relaxed structure of NbVNiPt.

```
NbVNiPt
1.0
4.3375 0.0000 0.0000
2.1688 3.7564 0.0000
2.1688 1.2521 3.5416
V Nb Pt Ni
1 1 1 1
direct
0.0000 0.0000 0.0000
0.2500 0.2500 0.2500
0.7500 0.7500 0.7500
0.5000 0.5000 0.5000
```

Properties
- SG = No. 216
- D(E_F) (states/eV/f.u.) = 4.23

(B)
The following is a DFT calculation (GGA-PBE) of a relaxed structure of NbVNiPt.

```
NbVNiPt
1.0
3.7107 0.0000 0.0000
0.0000 3.8829 0.0000
0.0000 0.0000 3.9888
Pt Ni V Nb
1 1 1 1
direct
0.0000 0.0000 0.0000
0.5000 0.5000 0.0000
0.5000 0.0000 0.5000
0.0000 0.5000 0.5000
```

Properties
- SG = No. 47
- D(E_F) (states/eV/f.u.) = 3.16

Going by the energies, (B) is most stable and the next is 0.136 eV/atom up.

(A)
The following is a DFT calculation (GGA-PBE) of a relaxed structure of PuNbNi.

```
PuNbNi
1.0
5.1820 0.0000 0.0000
2.5910 3.5059 0.0000
2.5910 0.0000 5.8025
Ni Pu Nb
2 2 2
direct
0.3876 0.0000 0.2247
0.6124 0.0000 0.7753
0.8307 0.3385 0.0000
0.1693 0.6615 0.0000
0.2500 0.5000 0.5000
0.7500 0.5000 0.5000
```

Properties
- SG = No. 69
- D(E_F) (states/eV/f.u.) = 4.59

(B)
The following is a DFT calculation (GGA-PBE) of a relaxed structure of PuNbNi.

```
PuNbNi
1.0
-1.1143 0.2195 2.8619
2.6632 -1.0659 1.1186
1.2391 5.8410 -1.6218
Ni Nb Pu
1 1 1
direct
0.3127 0.3127 0.6255
0.6916 0.6916 0.3831
0.9957 0.9957 0.9914
```

Properties
- SG = No. 107
- D(E_F) (states/eV/f.u.) = 6.96

(C)
The following is a DFT calculation (GGA-PBE) of a relaxed structure of PuNbNi.

```
PuNbNi
1.0
-0.0173 2.8953 -0.0183
-4.0982 -0.0121 1.9787
3.7625 0.0387 2.5597
Nb Pu Ni
1 1 1
direct
0.6481 0.3333 0.6667
0.3442 0.6667 0.3333
0.0078 0.0000 0.0000
```

Properties
- SG = No. 156
- D(E_F) (states/eV/f.u.) = 5.01

Going by the energies, (B) is most stable and the next is 0.148 eV/atom up.

(A)
The following is a DFT calculation (GGA-PBE) of a relaxed structure of RbNb2Ni.

```
RbNb2Ni
1.0
5.1231 0.0000 0.0000
0.0000 5.1231 0.0000
2.5616 2.5616 8.7270
Rb Nb Ni
2 4 2
direct
0.7500 0.2500 0.5000
0.0000 0.0000 0.0000
0.3750 0.6250 0.7500
0.3750 0.6250 0.2500
0.8750 0.6250 0.7500
0.3750 0.1250 0.2500
0.5000 0.5000 0.0000
0.2500 0.7500 0.5000
```

Properties
- SG = No. 141
- D(E_F) (states/eV/f.u.) = 6.02

(B)
The following is a DFT calculation (GGA-PBE) of a relaxed structure of RbNb2Ni.

```
RbNb2Ni
1.0
0.0000 3.3139 3.3139
3.3139 0.0000 3.3139
3.3139 3.3139 0.0000
Nb Rb Ni
2 1 1
direct
0.7500 0.7500 0.7500
0.2500 0.2500 0.2500
0.5000 0.5000 0.5000
0.0000 0.0000 0.0000
```

Properties
- SG = No. 225
- D(E_F) (states/eV/f.u.) = 5.53

Going by the energies, (A) is most stable and the next is 0.018 eV/atom up.

(A)
The following is a DFT calculation (GGA-PBE) of a relaxed structure of Nb2Ni15Rh2.

```
Nb2Ni15Rh2
1.0
5.9966 -0.5375 1.4432
1.0100 5.9353 1.4432
-0.6977 -0.5375 6.1282
Rh Ni Nb
2 15 2
direct
0.8927 0.8927 0.8927
0.1073 0.1073 0.1073
0.0000 0.5000 0.0000
0.6886 0.0000 0.3114
0.3516 0.3516 0.8340
0.3516 0.8340 0.3516
0.6886 0.3114 0.0000
0.5000 0.0000 0.0000
0.6484 0.6484 0.1660
0.6484 0.1660 0.6484
0.0000 0.3114 0.6886
0.1660 0.6484 0.6484
0.8340 0.3516 0.3516
0.3114 0.6886 0.0000
0.3114 0.0000 0.6886
0.0000 0.6886 0.3114
0.0000 0.0000 0.5000
0.3307 0.3307 0.3307
0.6693 0.6693 0.6693
```

Properties
- SG = No. 166
- D(E_F) (states/eV/f.u.) = 26.01

(B)
The following is a DFT calculation (GGA-PBE) of a relaxed structure of Nb2Ni15Rh2.

```
Nb2Ni15Rh2
1.0
-1.3648 -3.7762 -4.7716
-3.5622 -4.0272 3.1596
-5.5228 2.5070 -1.4507
Ni Rh Nb
15 2 2
direct
0.0000 0.3041 0.6959
0.3538 0.3538 0.8361
0.1639 0.6462 0.6462
0.6462 0.1639 0.6462
0.0000 0.6959 0.3041
0.3041 0.6959 0.0000
0.3538 0.8361 0.3538
0.0000 0.0000 0.5000
0.6959 0.3041 0.0000
0.6462 0.6462 0.1639
0.8361 0.3538 0.3538
0.6959 0.0000 0.3041
0.5000 0.0000 0.0000
0.0000 0.5000 0.0000
0.3041 0.0000 0.6959
0.3276 0.3276 0.3276
0.6724 0.6724 0.6724
0.1163 0.1163 0.1163
0.8837 0.8837 0.8837
```

Properties
- SG = No. 166
- D(E_F) (states/eV/f.u.) = 27.83

Going by the energies, (A) is most stable and the next is 0.102 eV/atom up.

(A)
The following is a DFT calculation (GGA-PBE) of a relaxed structure of Nb2Ni2Rh.

```
Nb2Ni2Rh
1.0
4.3652 0.0000 1.3185
1.8927 4.5658 1.6191
0.1232 0.7308 7.4772
Rh Ni Nb
2 4 4
direct
0.7043 0.2500 0.7500
0.2957 0.7500 0.2500
0.0567 0.2692 0.9646
0.9433 0.7308 0.0354
0.2904 0.2309 0.5354
0.7096 0.7691 0.4646
0.5045 0.1995 0.1415
0.8454 0.3005 0.3585
0.4955 0.8005 0.8585
0.1546 0.6995 0.6415
```

Properties
- SG = No. 15
- D(E_F) (states/eV/f.u.) = 4.03

(B)
The following is a DFT calculation (GGA-PBE) of a relaxed structure of Nb2Ni2Rh.

```
Nb2Ni2Rh
1.0
6.7558 0.0000 0.0000
0.0000 6.7558 0.0000
0.0000 0.0000 3.1846
Nb Ni Rh
4 4 2
direct
0.3234 0.1766 0.5000
0.6766 0.8234 0.5000
0.1766 0.6766 0.5000
0.8234 0.3234 0.5000
0.3746 0.8746 0.0000
0.6254 0.1254 0.0000
0.8746 0.6254 0.0000
0.1254 0.3746 0.0000
0.0000 0.0000 0.0000
0.5000 0.5000 0.0000
```

Properties
- SG = No. 127
- D(E_F) (states/eV/f.u.) = 3.07

Going by the energies, (B) is most stable and the next is 0.056 eV/atom up.

(A)
The following is a DFT calculation (GGA-PBE) of a relaxed structure of Nb3Ni2Rh3.

```
Nb3Ni2Rh3
1.0
3.8859 0.0000 0.0000
0.0000 3.8944 0.0000
0.0000 0.0000 7.8172
Rh Nb Ni
3 3 2
direct
0.5000 0.0000 0.5000
0.0000 0.5000 0.5000
0.0000 0.5000 0.0000
0.5000 0.5000 0.7377
0.5000 0.5000 0.2623
0.5000 0.0000 0.0000
0.0000 0.0000 0.7419
0.0000 0.0000 0.2581
```

Properties
- SG = No. 47
- D(E_F) (states/eV/f.u.) = 6.80

(B)
The following is a DFT calculation (GGA-PBE) of a relaxed structure of Nb3Ni2Rh3.

```
Nb3Ni2Rh3
1.0
-2.8281 -2.5126 2.8777
6.1982 -2.9840 3.4860
-3.1304 6.5381 2.6321
Rh Ni Nb
6 4 6
direct
0.2500 0.0000 0.7794
0.7500 0.7794 0.7794
0.7500 0.2206 0.0000
0.2500 0.7794 0.0000
0.7500 0.0000 0.2206
0.2500 0.2206 0.2206
0.0000 0.3333 0.6667
0.0000 0.6667 0.3333
0.5000 0.3333 0.6667
0.5000 0.6667 0.3333
0.7500 0.0000 0.6048
0.7500 0.6048 0.0000
0.2500 0.6048 0.6048
0.2500 0.3952 0.0000
0.2500 0.0000 0.3952
0.7500 0.3952 0.3952
```

Properties
- SG = No. 193
- D(E_F) (states/eV/f.u.) = 10.45

Going by the energies, (A) is most stable and the next is 0.259 eV/atom up.

(A)
The following is a DFT calculation (GGA-PBE) of a relaxed structure of NbVNiRh.

```
NbVNiRh
1.0
4.3012 0.0000 0.0000
2.1506 3.7249 0.0000
2.1506 1.2416 3.5119
V Rh Ni Nb
1 1 1 1
direct
0.7500 0.7500 0.7500
0.0000 0.0000 0.0000
0.2500 0.2500 0.2500
0.5000 0.5000 0.5000
```

Properties
- SG = No. 216
- D(E_F) (states/eV/f.u.) = 5.32

(B)
The following is a DFT calculation (GGA-PBE) of a relaxed structure of NbVNiRh.

```
NbVNiRh
1.0
3.7775 0.0000 0.0000
0.0000 3.8652 0.0000
0.0000 0.0000 3.8580
Ni Nb Rh V
1 1 1 1
direct
0.0000 0.0000 0.0000
0.5000 0.0000 0.5000
0.5000 0.5000 0.0000
0.0000 0.5000 0.5000
```

Properties
- SG = No. 47
- D(E_F) (states/eV/f.u.) = 3.07

Going by the energies, (B) is most stable and the next is 0.122 eV/atom up.

(A)
The following is a DFT calculation (GGA-PBE) of a relaxed structure of NbNi2Ru2.

```
NbNi2Ru2
1.0
-2.4547 4.6490 -4.7256
2.3603 -4.0960 -5.2557
-2.4325 -1.3362 -0.0510
Ru Ni Nb
4 4 2
direct
0.1272 0.3728 0.0000
0.8728 0.6272 0.0000
0.3728 0.8728 0.0000
0.6272 0.1272 0.0000
0.8305 0.3305 0.5000
0.6695 0.8305 0.5000
0.1695 0.6695 0.5000
0.3305 0.1695 0.5000
0.5000 0.5000 0.0000
0.0000 0.0000 0.0000
```

Properties
- SG = No. 127
- D(E_F) (states/eV/f.u.) = 5.67

(B)
The following is a DFT calculation (GGA-PBE) of a relaxed structure of NbNi2Ru2.

```
NbNi2Ru2
1.0
7.0198 0.0000 0.0000
0.0000 7.0198 0.0000
0.0000 0.0000 2.7741
Nb Ru Ni
2 4 4
direct
0.5000 0.5000 0.0000
0.0000 0.0000 0.0000
0.6736 0.8264 0.5000
0.3264 0.1736 0.5000
0.8264 0.3264 0.5000
0.1736 0.6736 0.5000
0.6216 0.1216 0.0000
0.8784 0.6216 0.0000
0.1216 0.3784 0.0000
0.3784 0.8784 0.0000
```

Properties
- SG = No. 127
- D(E_F) (states/eV/f.u.) = 5.89

(C)
The following is a DFT calculation (GGA-PBE) of a relaxed structure of NbNi2Ru2.

```
NbNi2Ru2
1.0
3.5639 0.0000 0.0000
0.0000 3.5639 0.0000
1.7819 1.7819 5.6628
Ni Nb Ru
2 1 2
direct
0.4026 0.4026 0.1949
0.5974 0.5974 0.8051
0.0000 0.0000 0.0000
0.2500 0.7500 0.5000
0.7500 0.2500 0.5000
```

Properties
- SG = No. 139
- D(E_F) (states/eV/f.u.) = 6.37

Going by the energies, (B) is most stable and the next is 0.066 eV/atom up.